[1]
RbTaTiGa2 | GGA-PBE | optimized geometry

Results
The value obtained for the uncorrected energy is -24.08 eV/cell. The value obtained for the magnetization is 0.00 μB per cell. For the energy relative to the elements, the calculation gives 537 meV/atom.

abc: 5.315 5.315 4.819
angles: 90.00 90.00 90.00
Space group P4/mmm (No. 123)
Unique sites:
Rb 0.000 0.000 0.000 (multiplicity 1)
Ta 0.500 0.500 0.500 (multiplicity 1)
Ti 0.500 0.500 0.000 (multiplicity 1)
Ga 0.000 0.500 0.500 (multiplicity 2)



[2]
La2MnC2N6 | GGA-PBE | optimized geometry

Results
The value obtained for the uncorrected energy is -187.79 eV/cell. The value obtained for the magnetization is 6.02 μB per cell. As for the formation energy without anion corrections: -588 meV per atom.

abc: 8.966 5.086 6.077
angles: 90.00 118.84 90.00
Space group C2/m (No. 12)
Unique sites:
La 0.215 0.000 0.190 (multiplicity 4)
Mn 0.000 0.000 0.500 (multiplicity 2)
C 0.074 0.500 0.278 (multiplicity 4)
N 0.016 0.268 0.758 (multiplicity 8)
N 0.240 0.500 0.332 (multiplicity 4)



[3]
SbCOF2 | GGA-PBE | optimized geometry

Results
The value obtained for the uncorrected energy is -21.59 eV/cell. The value obtained for the magnetization is 0.21 μB per cell. As for the formation energy without anion corrections: 92 meV per atom. Its offset from the most stable computed form is 0.0 kJ/mol of atoms.

abc: 4.731 4.731 2.903
angles: 90.00 90.00 90.00
Space group P4/mmm (No. 123)
Unique sites:
Sb 0.000 0.000 0.000 (multiplicity 1)
C 0.500 0.500 0.500 (multiplicity 1)
O 0.500 0.500 0.000 (multiplicity 1)
F 0.000 0.500 0.500 (multiplicity 2)